(i)
Entry from the Alexandria database: an optimized crystal structure of MnTe2NCl (PBE-GGA).

```
5
Lattice="5.364 0.000 0.000 0.000 5.364 0.000 0.000 0.000 3.439" Properties=species:S:1:pos:R:3 pbc="T T T"
Mn 0.000 0.000 0.000
Te 0.000 2.682 0.000
Te 2.682 0.000 0.000
N 0.000 0.000 1.720
Cl 2.682 2.682 1.720
```

Output
theoretical density = 6.0 g cm⁻³
total moment = 0.00 μB/atom
DOS(E_F) = 5.75 states/eV per cell
space group = P4/mmm, No. 123

=====

(ii)
Entry from the Alexandria database: an optimized crystal structure of MnTe2NCl (PBE-GGA).

```
5
Lattice="5.483 0.000 0.000 0.000 5.483 0.000 0.000 0.000 3.389" Properties=species:S:1:pos:R:3 pbc="T T T"
Mn 0.000 0.000 0.000
Te 0.000 2.742 1.695
Te 2.742 0.000 1.695
N 2.742 2.742 0.000
Cl 2.742 2.742 1.695
```

Output
theoretical density = 5.9 g cm⁻³
total moment = 0.01 μB/atom
DOS(E_F) = 6.97 states/eV per cell
space group = P4/mmm, No. 123

=====

Stability summary - winner: (i); margin: 1619 meV/atom.

=====

(i)
Entry from the Alexandria database: an optimized crystal structure of NaMnCl2 (PBE-GGA).

```
12
Lattice="3.931 0.000 0.000 -1.965 3.404 0.000 0.000 0.000 22.980" Properties=species:S:1:pos:R:3 pbc="T T T"
Na 0.000 0.000 0.000
Na 0.000 2.269 15.320
Na 1.965 1.135 7.660
Mn 0.000 0.000 11.490
Mn 0.000 2.269 3.830
Mn 1.965 1.135 19.150
Cl 0.000 0.000 9.236
Cl 0.000 0.000 13.745
Cl 0.000 2.269 1.575
Cl 0.000 2.269 6.085
Cl 1.965 1.135 16.896
Cl 1.965 1.135 21.405
```

Output
theoretical density = 2.4 g cm⁻³
total moment = 1.00 μB/atom
DOS(E_F) = 0.32 states/eV per cell
space group = R-3m, No. 166

=====

(ii)
Entry from the Alexandria database: an optimized crystal structure of NaMnCl2 (PBE-GGA).

```
16
Lattice="6.086 0.000 0.000 0.000 6.086 0.000 0.000 0.000 11.424" Properties=species:S:1:pos:R:3 pbc="T T T"
Na 0.000 0.000 0.000
Na 0.000 3.043 2.856
Na 3.043 0.000 8.568
Na 3.043 3.043 5.712
Mn 0.000 0.000 5.712
Mn 0.000 3.043 8.568
Mn 3.043 0.000 2.856
Mn 3.043 3.043 0.000
Cl 1.288 1.522 7.140
Cl 1.522 4.331 9.996
Cl 1.522 4.798 4.284
Cl 1.755 1.522 1.428
Cl 4.331 4.565 1.428
Cl 4.565 1.288 4.284
Cl 4.565 1.755 9.996
Cl 4.798 4.565 7.140
```

Output
theoretical density = 2.3 g cm⁻³
total moment = 1.06 μB/atom
DOS(E_F) = 19.31 states/eV per cell
space group = I-42d, No. 122

=====

(iii)
Entry from the Alexandria database: an optimized crystal structure of NaMnCl2 (PBE-GGA).

```
16
Lattice="6.783 0.000 0.000 0.000 6.783 0.000 0.000 0.000 6.783" Properties=species:S:1:pos:R:3 pbc="T T T"
Na 0.000 0.000 0.000
Na 0.000 3.392 3.392
Na 3.392 0.000 3.392
Na 3.392 3.392 0.000
Mn 0.000 0.000 3.392
Mn 0.000 3.392 0.000
Mn 3.392 0.000 0.000
Mn 3.392 3.392 3.392
Cl 1.696 1.696 1.696
Cl 1.696 1.696 5.088
Cl 1.696 5.088 1.696
Cl 1.696 5.088 5.088
Cl 5.088 1.696 1.696
Cl 5.088 1.696 5.088
Cl 5.088 5.088 1.696
Cl 5.088 5.088 5.088
```

Output
theoretical density = 3.2 g cm⁻³
total moment = 1.07 μB/atom
DOS(E_F) = 27.06 states/eV per cell
space group = Fm-3m, No. 225

=====

Stability summary - winner: (i); margin: 108 meV/atom.

=====

(i)
Entry from the Alexandria database: an optimized crystal structure of NaMnCl3 (PBE-GGA).

```
5
Lattice="4.975 0.000 0.000 0.000 4.975 0.000 0.000 0.000 4.975" Properties=species:S:1:pos:R:3 pbc="T T T"
Na 0.000 0.000 0.000
Mn 2.487 2.487 2.487
Cl 0.000 0.000 2.487
Cl 0.000 2.487 0.000
Cl 2.487 0.000 0.000
```

Output
theoretical density = 2.5 g cm⁻³
total moment = 1.00 μB/atom
DOS(E_F) = 0.58 states/eV per cell
space group = Pm-3m, No. 221

=====

(ii)
Entry from the Alexandria database: an optimized crystal structure of NaMnCl3 (PBE-GGA).

```
10
Lattice="4.055 0.000 0.000 0.000 11.155 3.337 0.000 -11.155 3.337" Properties=species:S:1:pos:R:3 pbc="T T T"
Na 1.014 -7.168 3.337
Na 3.041 7.168 3.337
Mn 1.014 -2.685 2.966
Mn 3.041 2.685 2.966
Cl 1.014 -4.774 1.840
Cl 1.014 1.697 2.092
Cl 1.014 -2.719 5.272
Cl 3.041 -1.697 2.092
Cl 3.041 4.774 1.840
Cl 3.041 2.719 5.272
```

Output
theoretical density = 2.0 g cm⁻³
total moment = 1.00 μB/atom
DOS(E_F) = 0.00 states/eV per cell
space group = Ama2, No. 40

=====

Stability summary - winner: (ii); margin: 889 meV/atom.

=====

(i)
Entry from the Alexandria database: an optimized crystal structure of NaMnCl3 (PBE-GGA).

```
20
Lattice="7.625 0.000 0.000 0.000 11.745 0.000 0.000 0.000 6.394" Properties=species:S:1:pos:R:3 pbc="T T T"
Na 0.000 0.000 0.000
Na 0.000 5.873 0.000
Na 3.812 0.000 3.197
Na 3.812 5.873 3.197
Mn 1.422 2.936 2.972
Mn 2.390 8.809 6.169
Mn 5.234 2.936 0.225
Mn 6.203 8.809 3.422
Cl 0.016 8.809 5.366
Cl 1.385 0.939 4.117
Cl 1.385 4.933 4.117
Cl 2.427 6.812 0.920
Cl 2.427 10.806 0.920
Cl 3.796 2.936 2.169
Cl 3.828 8.809 4.225
Cl 5.198 0.939 5.474
Cl 5.198 4.933 5.474
Cl 6.239 6.812 2.277
Cl 6.239 10.806 2.277
Cl 7.609 2.936 1.028
```

Output
theoretical density = 2.1 g cm⁻³
total moment = 1.00 μB/atom
DOS(E_F) = 0.00 states/eV per cell
space group = Pnma, No. 62

=====

(ii)
Entry from the Alexandria database: an optimized crystal structure of NaMnCl3 (PBE-GGA).

```
5
Lattice="5.009 0.000 0.000 0.000 5.009 0.000 0.000 0.000 5.009" Properties=species:S:1:pos:R:3 pbc="T T T"
Na 0.000 0.000 0.000
Mn 2.505 2.505 2.505
Cl 0.000 2.505 2.505
Cl 2.505 0.000 2.505
Cl 2.505 2.505 0.000
```

Output
theoretical density = 2.4 g cm⁻³
total moment = 1.00 μB/atom
DOS(E_F) = 0.00 states/eV per cell
space group = Pm-3m, No. 221

=====

(iii)
Entry from the Alexandria database: an optimized crystal structure of NaMnCl3 (PBE-GGA).

```
10
Lattice="3.317 1.915 6.272 -3.317 1.915 6.272 0.000 -3.830 6.272" Properties=species:S:1:pos:R:3 pbc="T T T"
Na 0.000 0.000 2.732
Na 0.000 0.000 16.084
Mn 0.000 0.000 6.405
Mn 0.000 0.000 12.411
Cl -2.144 -0.236 7.718
Cl -0.867 -1.975 11.098
Cl 1.277 -1.738 7.718
Cl -1.277 1.738 11.098
Cl 0.867 1.975 7.718
Cl 2.144 0.236 11.098
```

Output
theoretical density = 2.6 g cm⁻³
total moment = 1.00 μB/atom
DOS(E_F) = 0.00 states/eV per cell
space group = R-3, No. 148

=====

Stability summary - winner: (iii); margin: 38 meV/atom.

=====

(i)
Entry from the Alexandria database: an optimized crystal structure of Na2MnCl (PBE-GGA).

```
16
Lattice="7.524 0.000 0.000 0.000 7.524 0.000 0.000 0.000 7.524" Properties=species:S:1:pos:R:3 pbc="T T T"
Na 1.881 1.881 1.881
Na 1.881 1.881 5.643
Na 1.881 5.643 1.881
Na 1.881 5.643 5.643
Na 5.643 1.881 1.881
Na 5.643 1.881 5.643
Na 5.643 5.643 1.881
Na 5.643 5.643 5.643
Mn 0.000 0.000 0.000
Mn 0.000 3.762 3.762
Mn 3.762 0.000 3.762
Mn 3.762 3.762 0.000
Cl 0.000 0.000 3.762
Cl 0.000 3.762 0.000
Cl 3.762 0.000 0.000
Cl 3.762 3.762 3.762
```

Output
theoretical density = 2.1 g cm⁻³
total moment = 1.07 μB/atom
DOS(E_F) = 11.62 states/eV per cell
space group = Fm-3m, No. 225

=====

(ii)
Entry from the Alexandria database: an optimized crystal structure of Na2MnCl (PBE-GGA).

```
16
Lattice="8.066 0.000 0.000 0.000 8.066 0.000 0.000 0.000 6.903" Properties=species:S:1:pos:R:3 pbc="T T T"
Na 1.570 2.016 0.863
Na 2.016 5.603 2.589
Na 2.016 6.495 6.040
Na 2.463 2.016 4.314
Na 5.603 6.049 4.314
Na 6.049 1.570 6.040
Na 6.049 2.463 2.589
Na 6.495 6.049 0.863
Mn 0.000 0.000 3.452
Mn 0.000 4.033 5.177
Mn 4.033 0.000 1.726
Mn 4.033 4.033 0.000
Cl 0.000 0.000 0.000
Cl 0.000 4.033 1.726
Cl 4.033 0.000 5.177
Cl 4.033 4.033 3.452
```

Output
theoretical density = 2.0 g cm⁻³
total moment = 1.02 μB/atom
DOS(E_F) = 8.47 states/eV per cell
space group = I-42d, No. 122

=====

Stability summary - winner: (ii); margin: 139 meV/atom.

=====

(i)
Entry from the Alexandria database: an optimized crystal structure of Na2Mn2Cl (PBE-GGA).

```
10
Lattice="6.728 0.000 0.000 0.000 6.728 0.000 0.000 0.000 4.944" Properties=species:S:1:pos:R:3 pbc="T T T"
Na 1.107 2.257 0.000
Na 2.257 5.621 0.000
Na 4.471 1.107 0.000
Na 5.621 4.471 0.000
Mn 0.923 4.287 2.472
Mn 2.441 0.923 2.472
Mn 4.287 5.805 2.472
Mn 5.805 2.441 2.472
Cl 0.000 0.000 2.472
Cl 3.364 3.364 2.472
```

Output
theoretical density = 2.8 g cm⁻³
total moment = 1.59 μB/atom
DOS(E_F) = 12.07 states/eV per cell
space group = P4/mbm, No. 127

=====

(ii)
Entry from the Alexandria database: an optimized crystal structure of Na2Mn2Cl (PBE-GGA).

```
10
Lattice="6.334 0.000 0.000 0.000 6.334 0.000 0.000 0.000 7.138" Properties=species:S:1:pos:R:3 pbc="T T T"
Na 0.000 3.167 1.785
Na 0.000 3.167 5.354
Na 3.167 0.000 1.785
Na 3.167 0.000 5.354
Mn 0.000 0.000 1.239
Mn 0.000 0.000 5.899
Mn 3.167 3.167 2.330
Mn 3.167 3.167 4.808
Cl 0.000 0.000 3.569
Cl 3.167 3.167 0.000
```

Output
theoretical density = 2.2 g cm⁻³
total moment = 1.59 μB/atom
DOS(E_F) = 14.06 states/eV per cell
space group = I4/mmm, No. 139

=====

Stability summary - winner: (i); margin: 154 meV/atom.

=====

(i)
Entry from the Alexandria database: an optimized crystal structure of NaMn2Cl6 (PBE-GGA).

```
9
Lattice="6.292 -2.413 0.000 6.292 2.413 0.000 -4.745 0.000 7.624" Properties=species:S:1:pos:R:3 pbc="T T T"
Na 0.000 0.000 0.000
Mn -0.682 0.000 4.522
Mn 8.521 0.000 3.102
Cl -3.096 0.000 5.274
Cl 1.843 0.000 3.278
Cl 0.134 0.000 6.650
Cl 7.705 0.000 0.974
Cl 5.996 0.000 4.346
Cl 10.935 0.000 2.350
```

Output
theoretical density = 2.5 g cm⁻³
total moment = 1.00 μB/atom
DOS(E_F) = 1.61 states/eV per cell
space group = C2/m, No. 12

=====

(ii)
Entry from the Alexandria database: an optimized crystal structure of NaMn2Cl6 (PBE-GGA).

```
9
Lattice="6.387 0.000 0.000 -3.194 5.532 0.000 0.000 0.000 6.229" Properties=species:S:1:pos:R:3 pbc="T T T"
Na 0.000 0.000 0.000
Mn 0.000 3.688 3.115
Mn 3.194 1.844 3.115
Cl -1.175 2.035 4.503
Cl -2.019 3.497 1.726
Cl 2.349 0.000 4.503
Cl 1.175 2.035 1.726
Cl 4.038 0.000 1.726
Cl 2.019 3.497 4.503
```

Output
theoretical density = 2.6 g cm⁻³
total moment = 1.00 μB/atom
DOS(E_F) = 6.74 states/eV per cell
space group = P-31m, No. 162

=====

Stability summary - winner: (ii); margin: 24 meV/atom.

=====

(i)
Entry from the Alexandria database: an optimized crystal structure of NaMnCl6 (PBE-GGA).

```
8
Lattice="3.241 1.871 5.537 -3.241 1.871 5.537 0.000 -3.742 5.537" Properties=species:S:1:pos:R:3 pbc="T T T"
Na 0.000 0.000 0.000
Mn 0.000 0.000 8.306
Cl -1.855 -0.228 7.017
Cl -0.730 -1.720 9.596
Cl 1.125 -1.492 7.017
Cl -1.125 1.492 9.596
Cl 0.730 1.720 7.017
Cl 1.855 0.228 9.596
```

Output
theoretical density = 2.4 g cm⁻³
total moment = 0.24 μB/atom
DOS(E_F) = 7.78 states/eV per cell
space group = R-3, No. 148

=====

(ii)
Entry from the Alexandria database: an optimized crystal structure of NaMnCl6 (PBE-GGA).

```
16
Lattice="11.391 0.000 0.000 0.000 6.877 0.000 -3.920 0.000 5.718" Properties=species:S:1:pos:R:3 pbc="T T T"
Na 0.000 0.000 0.000
Na 5.695 3.438 0.000
Mn -1.960 3.438 2.859
Mn 3.735 0.000 2.859
Cl -2.091 1.832 4.448
Cl -2.091 5.045 4.448
Cl 0.301 3.438 3.059
Cl 1.474 0.000 2.658
Cl 3.866 1.606 1.270
Cl 3.866 5.270 1.270
Cl 3.604 1.606 4.448
Cl 3.604 5.270 4.448
Cl 5.996 0.000 3.059
Cl 7.170 3.438 2.658
Cl 9.562 1.832 1.270
Cl 9.562 5.045 1.270
```

Output
theoretical density = 2.2 g cm⁻³
total moment = 0.51 μB/atom
DOS(E_F) = 17.69 states/eV per cell
space group = C2/m, No. 12

=====

Stability summary - winner: (i); margin: 11 meV/atom.

=====

(i)
Entry from the Alexandria database: an optimized crystal structure of Na3MnCl (PBE-GGA).

```
5
Lattice="5.377 0.000 0.000 0.000 5.377 0.000 0.000 0.000 5.377" Properties=species:S:1:pos:R:3 pbc="T T T"
Na 0.000 0.000 2.688
Na 0.000 2.688 0.000
Na 2.688 0.000 0.000
Mn 2.688 2.688 2.688
Cl 0.000 0.000 0.000
```

Output
theoretical density = 1.7 g cm⁻³
total moment = 0.97 μB/atom
DOS(E_F) = 5.26 states/eV per cell
space group = Pm-3m, No. 221

=====

(ii)
Entry from the Alexandria database: an optimized crystal structure of Na3MnCl (PBE-GGA).

```
5
Lattice="5.828 0.000 0.000 0.000 5.828 0.000 0.000 0.000 5.828" Properties=species:S:1:pos:R:3 pbc="T T T"
Na 0.000 0.000 2.914
Na 0.000 2.914 0.000
Na 2.914 0.000 0.000
Mn 0.000 0.000 0.000
Cl 2.914 2.914 2.914
```

Output
theoretical density = 1.3 g cm⁻³
total moment = 1.00 μB/atom
DOS(E_F) = 10.06 states/eV per cell
space group = Pm-3m, No. 221

=====

Stability summary - winner: (i); margin: 417 meV/atom.

=====

(i)
Entry from the Alexandria database: an optimized crystal structure of NaMnS2Cl (PBE-GGA).

```
5
Lattice="4.340 0.000 0.000 0.000 4.340 0.000 0.000 0.000 5.341" Properties=species:S:1:pos:R:3 pbc="T T T"
Na 0.000 0.000 0.000
Mn 2.170 2.170 2.671
S 0.000 2.170 2.671
S 2.170 0.000 2.671
Cl 2.170 2.170 0.000
```

Output
theoretical density = 2.9 g cm⁻³
total moment = 0.00 μB/atom
DOS(E_F) = 5.05 states/eV per cell
space group = P4/mmm, No. 123

=====

(ii)
Entry from the Alexandria database: an optimized crystal structure of NaMnS2Cl (PBE-GGA).

```
5
Lattice="4.862 0.000 0.000 0.000 4.862 0.000 0.000 0.000 4.990" Properties=species:S:1:pos:R:3 pbc="T T T"
Na 0.000 0.000 0.000
Mn 2.431 2.431 2.495
S 0.000 2.431 0.000
S 2.431 0.000 0.000
Cl 0.000 0.000 2.495
```

Output
theoretical density = 2.5 g cm⁻³
total moment = 0.98 μB/atom
DOS(E_F) = 5.48 states/eV per cell
space group = P4/mmm, No. 123

=====

Stability summary - winner: (i); margin: 959 meV/atom.

=====

(i)
Entry from the Alexandria database: an optimized crystal structure of Mn3NbCl (PBE-GGA).

```
5
Lattice="4.866 0.000 0.000 0.000 4.866 0.000 0.000 0.000 4.866" Properties=species:S:1:pos:R:3 pbc="T T T"
Mn 0.000 0.000 2.433
Mn 0.000 2.433 0.000
Mn 2.433 0.000 0.000
Nb 0.000 0.000 0.000
Cl 2.433 2.433 2.433
```

Output
theoretical density = 4.2 g cm⁻³
total moment = 1.76 μB/atom
DOS(E_F) = 4.55 states/eV per cell
space group = Pm-3m, No. 221

=====

(ii)
Entry from the Alexandria database: an optimized crystal structure of Mn3NbCl (PBE-GGA).

```
5
Lattice="4.088 0.000 0.000 0.000 4.088 0.000 0.000 0.000 4.088" Properties=species:S:1:pos:R:3 pbc="T T T"
Mn 0.000 0.000 2.044
Mn 0.000 2.044 0.000
Mn 2.044 0.000 0.000
Nb 2.044 2.044 2.044
Cl 0.000 0.000 0.000
```

Output
theoretical density = 7.1 g cm⁻³
total moment = 0.00 μB/atom
DOS(E_F) = 8.03 states/eV per cell
space group = Pm-3m, No. 221

=====

Stability summary - winner: (ii); margin: 480 meV/atom.

=====

(i)
Entry from the Alexandria database: an optimized crystal structure of MnNbSCl2 (PBE-GGA).

```
5
Lattice="4.421 0.000 0.000 0.000 4.421 0.000 0.000 0.000 4.524" Properties=species:S:1:pos:R:3 pbc="T T T"
Mn 0.000 0.000 0.000
Nb 2.211 2.211 2.262
S 0.000 0.000 2.262
Cl 0.000 2.211 0.000
Cl 2.211 0.000 0.000
```

Output
theoretical density = 4.7 g cm⁻³
total moment = 0.00 μB/atom
DOS(E_F) = 12.06 states/eV per cell
space group = P4/mmm, No. 123

=====

(ii)
Entry from the Alexandria database: an optimized crystal structure of MnNbSCl2 (PBE-GGA).

```
5
Lattice="4.961 0.000 0.000 0.000 4.961 0.000 0.000 0.000 4.830" Properties=species:S:1:pos:R:3 pbc="T T T"
Mn 0.000 0.000 0.000
Nb 2.480 2.480 2.415
S 2.480 2.480 0.000
Cl 0.000 2.480 2.415
Cl 2.480 0.000 2.415
```

Output
theoretical density = 3.5 g cm⁻³
total moment = 1.28 μB/atom
DOS(E_F) = 3.89 states/eV per cell
space group = P4/mmm, No. 123

=====

Stability summary - winner: (ii); margin: 688 meV/atom.